#A
{"formula": "NaBeHg3", "functional": "PBE", "state": "optimized geometry", "cell": [[-4.3032, 1.4171, 1.8199], [-1.4759, -4.6521, 0.1326], [1.7726, -0.4332, 4.5285]], "species": ["Be", "Na", "Hg", "Hg", "Hg"], "fractional_positions": [[0.0000, 0.0000, 0.0000], [0.5000, 0.5000, 0.5000], [0.0000, 0.0000, 0.5000], [0.5000, 0.0000, 0.0000], [0.0000, 0.5000, 0.0000]]}

---

#B
{"formula": "NaBeHg3", "functional": "PBE", "state": "optimized geometry", "cell": [[-3.3803, -4.4117, -1.4806], [1.8836, -2.9705, 4.5508], [-4.2553, 2.1896, 3.1906]], "species": ["Hg", "Hg", "Be", "Na", "Hg"], "fractional_positions": [[0.0000, 0.0000, 0.5000], [0.5000, 0.0000, 0.0000], [0.5000, 0.5000, 0.5000], [0.0000, 0.0000, 0.0000], [0.0000, 0.5000, 0.0000]]}

---

Energetically preferred structure: #A | next structure: +707 meV per atom

---

#A
{"formula": "BeNbHg3", "functional": "PBE", "state": "optimized geometry", "cell": [[4.6207, 0.0000, 0.0000], [0.0000, 4.6207, 0.0000], [0.0000, 0.0000, 4.6207]], "species": ["Hg", "Be", "Hg", "Hg", "Nb"], "fractional_positions": [[0.0000, 0.5000, 0.0000], [0.0000, 0.0000, 0.0000], [0.0000, 0.0000, 0.5000], [0.5000, 0.0000, 0.0000], [0.5000, 0.5000, 0.5000]]}

---

#B
{"formula": "BeNbHg3", "functional": "PBE", "state": "optimized geometry", "cell": [[-2.6922, -3.7664, 3.1850], [3.9003, -3.8468, -1.2522], [3.0195, 1.6107, 4.4571]], "species": ["Hg", "Be", "Hg", "Nb", "Hg"], "fractional_positions": [[0.5000, 0.0000, 0.0000], [0.5000, 0.5000, 0.5000], [0.0000, 0.5000, 0.0000], [0.0000, 0.0000, 0.0000], [0.0000, 0.0000, 0.5000]]}

---

Energetically preferred structure: #A | next structure: +565 meV per atom

---

#A
{"formula": "Be2Nb2Hg", "functional": "PBE", "state": "optimized geometry", "cell": [[7.5027, 0.0000, 0.0000], [0.0000, 7.5027, 0.0000], [0.0000, 0.0000, 2.8557]], "species": ["Nb", "Be", "Nb", "Hg", "Nb", "Be", "Be", "Hg", "Be", "Nb"], "fractional_positions": [[0.1271, 0.3729, 0.0000], [0.6712, 0.8288, 0.5000], [0.8729, 0.6271, 0.0000], [0.5000, 0.5000, 0.0000], [0.6271, 0.1271, 0.0000], [0.1712, 0.6712, 0.5000], [0.3288, 0.1712, 0.5000], [0.0000, 0.0000, 0.0000], [0.8288, 0.3288, 0.5000], [0.3729, 0.8729, 0.0000]]}

---

#B
{"formula": "Be2Nb2Hg", "functional": "PBE", "state": "optimized geometry", "cell": [[-1.2405, 3.4562, -0.4402], [-1.2876, -0.0206, 3.4670], [4.1050, 3.9004, 3.5203]], "species": ["Be", "Hg", "Nb", "Nb", "Be"], "fractional_positions": [[0.2500, 0.7500, 0.5000], [0.0000, 0.0000, 0.0000], [0.6040, 0.6040, 0.7920], [0.3960, 0.3960, 0.2080], [0.7500, 0.2500, 0.5000]]}

---

Energetically preferred structure: #A | next structure: +303 meV per atom

---

#A
{"formula": "Be3NbHg", "functional": "PBE", "state": "optimized geometry", "cell": [[4.2847, 0.0000, 0.0000], [0.0000, 4.2847, 0.0000], [0.0000, 0.0000, 4.2847]], "species": ["Be", "Nb", "Be", "Hg", "Be"], "fractional_positions": [[0.0000, 0.0000, 0.5000], [0.5000, 0.5000, 0.5000], [0.0000, 0.5000, 0.0000], [0.0000, 0.0000, 0.0000], [0.5000, 0.0000, 0.0000]]}

---

#B
{"formula": "Be3NbHg", "functional": "PBE", "state": "optimized geometry", "cell": [[4.4907, 0.0000, 0.0000], [0.0000, 4.4907, 0.0000], [0.0000, 0.0000, 4.4907]], "species": ["Hg", "Be", "Be", "Be", "Nb"], "fractional_positions": [[0.5000, 0.5000, 0.5000], [0.5000, 0.0000, 0.0000], [0.0000, 0.5000, 0.0000], [0.0000, 0.0000, 0.5000], [0.0000, 0.0000, 0.0000]]}

---

Energetically preferred structure: #A | next structure: +419 meV per atom

---

#A
{"formula": "BeNi2Hg", "functional": "PBE", "state": "optimized geometry", "cell": [[-2.8036, -3.8120, 1.0564], [0.7882, -4.2873, 2.1225], [-1.4973, -2.0498, 4.1308]], "species": ["Ni", "Hg", "Be", "Ni"], "fractional_positions": [[0.9605, 0.9605, 0.9605], [0.7500, 0.7500, 0.7500], [0.2500, 0.2500, 0.2500], [0.5395, 0.5395, 0.5395]]}

---

#B
{"formula": "BeNi2Hg", "functional": "PBE", "state": "optimized geometry", "cell": [[-0.3665, -4.6026, 1.4064], [-1.3277, -3.1718, -3.3873], [3.3238, 3.3105, 1.1357]], "species": ["Be", "Ni", "Hg", "Ni"], "fractional_positions": [[0.5183, 0.5183, 0.0000], [0.9943, 0.9943, 0.0000], [0.2730, 0.7730, 0.5000], [0.7143, 0.2143, 0.5000]]}

---

#C
{"formula": "BeNi2Hg", "functional": "PBE", "state": "optimized geometry", "cell": [[-1.0914, -2.3686, -2.0176], [1.2703, -1.8939, 1.5363], [-4.1314, -1.3953, 3.8731]], "species": ["Be", "Ni", "Hg", "Ni"], "fractional_positions": [[0.0000, 0.7463, 0.4149], [0.0000, 0.9115, 0.0439], [0.5000, 0.5421, 0.7508], [0.5000, 0.3001, 0.2903]]}

---

#D
{"formula": "BeNi2Hg", "functional": "PBE", "state": "optimized geometry", "cell": [[2.0565, -0.9399, 3.5113], [2.5525, 2.8099, 1.7409], [-1.0605, 1.8384, 3.5968]], "species": ["Hg", "Be", "Ni", "Ni"], "fractional_positions": [[0.5000, 0.5000, 0.5000], [0.0000, 0.0000, 0.0000], [0.7500, 0.7500, 0.7500], [0.2500, 0.2500, 0.2500]]}

---

Energetically preferred structure: #A | next structure: +30 meV per atom

---

#A
{"formula": "BeNi2Hg", "functional": "PBE", "state": "optimized geometry", "cell": [[-0.9670, 1.1124, -3.8861], [-3.3709, -1.5905, -1.8390], [-3.3121, 2.4088, -0.7089]], "species": ["Ni", "Be", "Hg", "Ni"], "fractional_positions": [[0.2500, 0.2500, 0.2500], [0.5000, 0.5000, 0.5000], [0.7500, 0.7500, 0.7500], [0.0000, 0.0000, 0.0000]]}

---

#B
{"formula": "BeNi2Hg", "functional": "PBE", "state": "optimized geometry", "cell": [[-1.9066, -1.8679, -0.6847], [1.6917, -1.0232, -1.9194], [2.4949, -4.1667, 4.4202]], "species": ["Hg", "Ni", "Be", "Ni"], "fractional_positions": [[0.5000, 0.5000, 0.7500], [0.0000, 0.0000, 0.0606], [0.5000, 0.5000, 0.2500], [0.0000, 0.0000, 0.4394]]}

---

#C
{"formula": "BeNi2Hg", "functional": "PBE", "state": "optimized geometry", "cell": [[4.4740, 0.0039, 0.0000], [1.3049, 4.2795, 0.0000], [-2.8895, -2.1417, 2.6610]], "species": ["Hg", "Be", "Ni", "Ni"], "fractional_positions": [[0.7500, 0.2500, 0.5000], [0.2500, 0.7500, 0.5000], [0.5000, 0.5000, 0.0000], [0.0000, 0.0000, 0.0000]]}

---

Energetically preferred structure: #B | next structure: +170 meV per atom

---

#A
{"formula": "BeNi2Hg", "functional": "PBE", "state": "optimized geometry", "cell": [[4.4774, -0.0669, 0.0000], [1.4024, 4.2526, 0.0000], [-2.9399, -2.0929, 2.6511]], "species": ["Ni", "Hg", "Ni", "Be"], "fractional_positions": [[0.0000, 0.0000, 0.0000], [0.7500, 0.2500, 0.5000], [0.2500, 0.7500, 0.5000], [0.5000, 0.5000, 0.0000]]}

---

#B
{"formula": "BeNi2Hg", "functional": "PBE", "state": "optimized geometry", "cell": [[4.6577, -0.0068, -0.0002], [1.7192, 4.3288, 0.0002], [-2.7368, -2.8275, 2.4919]], "species": ["Hg", "Ni", "Ni", "Be"], "fractional_positions": [[0.2500, 0.7500, 0.5000], [0.5365, 0.5365, 0.0000], [0.9635, 0.9635, 0.0000], [0.7500, 0.2500, 0.5000]]}

---

Energetically preferred structure: #B | next structure: +59 meV per atom

---

#A
{"formula": "BeNi2Hg", "functional": "PBE", "state": "optimized geometry", "cell": [[-1.1207, -1.1222, 3.2511], [3.3959, -0.9026, 0.8591], [2.4217, 6.8099, 5.1977]], "species": ["Ni", "Be", "Hg", "Ni", "Ni", "Ni", "Hg", "Be"], "fractional_positions": [[0.1715, 0.6250, 0.2500], [0.2500, 0.7500, 0.5000], [0.7500, 0.2500, 0.5000], [0.3750, 0.4215, 0.7500], [0.8750, 0.8285, 0.7500], [0.5785, 0.1250, 0.2500], [0.0000, 0.0000, 0.0000], [0.5000, 0.5000, 0.0000]]}

---

#B
{"formula": "BeNi2Hg", "functional": "PBE", "state": "optimized geometry", "cell": [[-1.5037, 2.4485, -0.3215], [-2.4598, -1.5006, 0.0764], [-0.2169, 0.6653, 6.0819]], "species": ["Ni", "Hg", "Ni", "Be"], "fractional_positions": [[0.0000, 0.0000, 0.0471], [0.5000, 0.5000, 0.7437], [0.5000, 0.5000, 0.2830], [0.0000, 0.0000, 0.4262]]}

---

Energetically preferred structure: #B | next structure: +350 meV per atom

---

#A
{"formula": "BeNi2Hg", "functional": "PBE", "state": "optimized geometry", "cell": [[3.7623, 0.0000, 0.0000], [0.0000, 3.7571, 0.0000], [0.0000, 0.0000, 3.5922]], "species": ["Ni", "Be", "Ni", "Hg"], "fractional_positions": [[0.5000, 0.5000, 0.0000], [0.5000, 0.0000, 0.5000], [0.0000, 0.0000, 0.0000], [0.0000, 0.5000, 0.5000]]}

---

#B
{"formula": "BeNi2Hg", "functional": "PBE", "state": "optimized geometry", "cell": [[-2.5940, 2.1793, -2.6872], [-3.0995, -0.5233, -2.9696], [-3.9035, 0.4510, 2.6704]], "species": ["Be", "Ni", "Ni", "Hg"], "fractional_positions": [[0.5149, 0.5149, 0.4121], [0.2433, 0.2433, 0.2721], [0.9895, 0.9895, 0.0607], [0.7523, 0.7523, 0.7551]]}

---

Energetically preferred structure: #A | next structure: +24 meV per atom

---

#A
{"formula": "BeNi3Hg", "functional": "PBE", "state": "optimized geometry", "cell": [[-1.0057, -2.7782, 2.6945], [3.4831, -1.8634, -0.6212], [1.6872, 2.1908, 2.8886]], "species": ["Hg", "Ni", "Be", "Ni", "Ni"], "fractional_positions": [[0.5000, 0.5000, 0.5000], [0.5000, 0.0000, 0.0000], [0.0000, 0.0000, 0.0000], [0.0000, 0.5000, 0.0000], [0.0000, 0.0000, 0.5000]]}

---

#B
{"formula": "BeNi3Hg", "functional": "PBE", "state": "optimized geometry", "cell": [[4.6946, 0.0000, 0.0000], [0.0000, 4.6946, 0.0000], [0.0000, 0.0000, 4.6946]], "species": ["Ni", "Hg", "Be", "Ni", "Ni"], "fractional_positions": [[0.0000, 0.0000, 0.5000], [0.0000, 0.0000, 0.0000], [0.5000, 0.5000, 0.5000], [0.0000, 0.5000, 0.0000], [0.5000, 0.0000, 0.0000]]}

---

Energetically preferred structure: #A | next structure: +1447 meV per atom

---

#A
{"formula": "BeNi2Hg2", "functional": "PBE", "state": "optimized geometry", "cell": [[6.6638, 0.0000, 0.0000], [0.0000, 6.6638, 0.0000], [0.0000, 0.0000, 3.5623]], "species": ["Hg", "Ni", "Ni", "Ni", "Ni", "Hg", "Hg", "Hg", "Be", "Be"], "fractional_positions": [[0.6597, 0.1597, 0.0000], [0.1410, 0.6410, 0.5000], [0.8590, 0.3590, 0.5000], [0.6410, 0.8590, 0.5000], [0.3590, 0.1410, 0.5000], [0.1597, 0.3403, 0.0000], [0.3403, 0.8403, 0.0000], [0.8403, 0.6597, 0.0000], [0.0000, 0.0000, 0.0000], [0.5000, 0.5000, 0.0000]]}

---

#B
{"formula": "BeNi2Hg2", "functional": "PBE", "state": "optimized geometry", "cell": [[5.8690, 0.0000, 0.0000], [0.0000, 5.8690, 0.0000], [0.0000, 0.0000, 4.3022]], "species": ["Hg", "Hg", "Ni", "Be", "Hg", "Ni", "Ni", "Hg", "Ni", "Be"], "fractional_positions": [[0.1736, 0.6736, 0.5000], [0.8264, 0.3264, 0.5000], [0.8543, 0.6457, 0.0000], [0.0000, 0.0000, 0.0000], [0.6736, 0.8264, 0.5000], [0.3543, 0.8543, 0.0000], [0.6457, 0.1457, 0.0000], [0.3264, 0.1736, 0.5000], [0.1457, 0.3543, 0.0000], [0.5000, 0.5000, 0.0000]]}

---

#C
{"formula": "BeNi2Hg2", "functional": "PBE", "state": "optimized geometry", "cell": [[3.3426, 0.0000, 0.0000], [0.0000, 3.3426, 0.0000], [1.6713, 1.6713, 7.1894]], "species": ["Ni", "Hg", "Hg", "Ni", "Be"], "fractional_positions": [[0.7500, 0.2500, 0.5000], [0.3980, 0.3980, 0.2040], [0.6020, 0.6020, 0.7960], [0.2500, 0.7500, 0.5000], [0.0000, 0.0000, 0.0000]]}

---

Energetically preferred structure: #B | next structure: +313 meV per atom

---

#A
{"formula": "Be2HgO", "functional": "PBE", "state": "optimized geometry", "cell": [[0.0000, 2.9073, 2.9073], [2.9073, 0.0000, 2.9073], [2.9073, 2.9073, 0.0000]], "species": ["Hg", "O", "Be", "Be"], "fractional_positions": [[0.5000, 0.5000, 0.5000], [0.0000, 0.0000, 0.0000], [0.2500, 0.2500, 0.2500], [0.7500, 0.7500, 0.7500]]}

---

#B
{"formula": "Be2HgO", "functional": "PBE", "state": "optimized geometry", "cell": [[-5.0317, 0.2930, -0.9052], [-0.8556, -3.5240, 3.6156], [-3.2331, 0.9614, 3.7983]], "species": ["Be", "O", "Hg", "Hg", "Be", "Be", "Be", "O"], "fractional_positions": [[0.2616, 0.6250, 0.2500], [0.2500, 0.7500, 0.5000], [0.0000, 0.0000, 0.0000], [0.7500, 0.2500, 0.5000], [0.4884, 0.1250, 0.2500], [0.8750, 0.7384, 0.7500], [0.3750, 0.5116, 0.7500], [0.5000, 0.5000, 0.0000]]}

---

Energetically preferred structure: #B | next structure: +1458 meV per atom